(1)
Compound: Ce2LuSc
Source: Alexandria via LeMat-Bulk
Functional: PBE
Structure: optimized geometry

Values from the calculation:
- energy above the lowest structure with this stoichiometry (meV/atom) = 0.0

Cell lengths 3.385, 3.385, 9.731 Å; angles 90.00, 90.00, 90.00 degrees
Space group P4/mmm (No. 123)
One atom of each set of equivalent atoms:
Ce: 0.000 0.000 0.243 [2 per cell]
Lu: 0.500 0.500 0.500 [1 per cell]
Sc: 0.500 0.500 0.000 [1 per cell]

---

(2)
Compound: CeLuSc2
Source: Alexandria via LeMat-Bulk
Functional: PBE
Structure: optimized geometry

Values from the calculation:
- energy above the lowest structure with this stoichiometry (meV/atom) = 17.2

Cell lengths 7.570, 7.570, 7.570 Å; angles 90.00, 90.00, 90.00 degrees
Space group Fm-3m (No. 225)
One atom of each set of equivalent atoms:
Ce: 0.000 0.000 0.000 [4 per cell]
Lu: 0.000 0.000 0.500 [4 per cell]
Sc: 0.250 0.250 0.250 [8 per cell]

---

(3)
Compound: CeLuSc
Source: Alexandria via LeMat-Bulk
Functional: PBE
Structure: optimized geometry

Values from the calculation:
- energy above the lowest structure with this stoichiometry (meV/atom) = 26.9

Cell lengths 5.3702, 5.3702, 3.2980 Å; angles 90.00, 90.00, 120.00 degrees
Space group P3m1 (No. 156)
One atom of each set of equivalent atoms:
Ce: 0.0000 0.0000 0.0000 [1 per cell]
Lu: 0.6667 0.3333 0.4992 [1 per cell]
Sc: 0.3333 0.6667 0.9979 [1 per cell]

---

(4)
Compound: Ce2LuSc
Source: Alexandria via LeMat-Bulk
Functional: PBE
Structure: optimized geometry

Values from the calculation:
- energy above the lowest structure with this stoichiometry (meV/atom) = 72.0

Cell lengths 7.734, 7.734, 7.734 Å; angles 90.00, 90.00, 90.00 degrees
Space group Fm-3m (No. 225)
One atom of each set of equivalent atoms:
Ce: 0.250 0.250 0.250 [8 per cell]
Lu: 0.000 0.000 0.000 [4 per cell]
Sc: 0.000 0.000 0.500 [4 per cell]

---

Calculated formation energy readings, ordered: 38; 35; 32; 66 kJ/mol of formula units